# EuMoH3 | Alexandria via LeMat-Bulk | PBE | relaxed
data_EuMoH3
_chemical_formula_sum 'Eu1 Mo1 H3'
_space_group_name_H-M_alt 'P m -3 m'
_space_group_IT_number 221
_space_group_name_Hall '-P 4 2 3'
_cell_length_a 3.7738
_cell_length_b 3.7738
_cell_length_c 3.7738
_cell_angle_alpha 90.00
_cell_angle_beta 90.00
_cell_angle_gamma 90.00
loop_
_atom_site_label
_atom_site_fract_x
_atom_site_fract_y
_atom_site_fract_z
_atom_site_occupancy
Eu1 0.0000 0.0000 0.0000 1
Mo1 0.5000 0.5000 0.5000 1
H1 0.0000 0.5000 0.5000 1
# **Total energy**: -6.418 eV/atom
# **Volume**: 10.749 Å³/atom
# **D(E_F)**: 3.9 states/eV/f.u.
# **Size of the total moment**: 6.20 Bohr magnetons per cell

# Eu2HN | Alexandria via LeMat-Bulk | PBE | relaxed
data_Eu2HN
_chemical_formula_sum 'Eu2 H1 N1'
_space_group_name_H-M_alt 'P 4/m m m'
_space_group_IT_number 123
_space_group_name_Hall '-P 4 2'
_cell_length_a 3.1555
_cell_length_b 3.1555
_cell_length_c 6.3997
_cell_angle_alpha 90.00
_cell_angle_beta 90.00
_cell_angle_gamma 90.00
loop_
_atom_site_label
_atom_site_fract_x
_atom_site_fract_y
_atom_site_fract_z
_atom_site_occupancy
Eu1 0.0000 0.0000 0.2230 1
H1 0.5000 0.5000 0.5000 1
N1 0.5000 0.5000 0.0000 1
# **Total energy**: -8.463 eV/atom
# **Volume**: 15.931 Å³/atom
# **D(E_F)**: 2.2 states/eV/f.u.
# **Size of the total moment**: 14.00 Bohr magnetons per cell

Question: Which of these has the lowest D(E_F)?
Answer: Eu2HN